No. 1
PmPr2TcN4: relaxed, PBE-GGA.

Values from the calculation:
- formation energy from raw total energies (eV per atom) = -0.8634
- Fermi-level density of states (states/eV/atom) = 0.2572

```
16
Lattice="1.768 -6.060 0.000 1.768 6.060 0.000 0.000 0.000 12.184" Properties=species:S:1:pos:R:3 pbc="T T T"
Pm 1.768 4.535 9.138
Pm 1.768 -4.535 3.046
Pr 1.768 1.603 6.581
Pr 1.768 1.603 11.695
Pr 1.768 -1.603 0.489
Pr 1.768 -1.603 5.603
Tc 1.768 4.288 3.046
Tc 1.768 -4.288 9.138
N 0.000 0.000 0.000
N 0.000 0.000 6.092
N 1.768 2.791 1.682
N 1.768 2.791 4.410
N 1.768 0.862 9.138
N 1.768 -0.862 3.046
N 1.768 -2.791 7.774
N 1.768 -2.791 10.502
```

No. 2
Mn2VAuN: relaxed, PBE-GGA.

Values from the calculation:
- formation energy from raw total energies (eV per atom) = -0.3512
- Fermi-level density of states (states/eV/atom) = 0.7907

```
5
Lattice="4.034 0.000 0.000 0.000 4.034 0.000 0.000 0.000 3.932" Properties=species:S:1:pos:R:3 pbc="T T T"
Mn 0.000 2.017 0.000
Mn 2.017 0.000 0.000
V 0.000 0.000 1.966
Au 2.017 2.017 1.966
N 0.000 0.000 0.000
```

No. 3
CdTcN2F: relaxed, PBE-GGA.

Values from the calculation:
- formation energy from raw total energies (eV per atom) = 0.0191
- Fermi-level density of states (states/eV/atom) = 0.6951

```
5
Lattice="3.900 0.000 0.000 0.000 3.900 0.000 0.000 0.000 4.248" Properties=species:S:1:pos:R:3 pbc="T T T"
Cd 0.000 0.000 0.000
Tc 1.950 1.950 2.124
N 0.000 1.950 2.124
N 1.950 0.000 2.124
F 1.950 1.950 0.000
```

No. 4
SmZnP2Ir5: relaxed, PBE-GGA.

Values from the calculation:
- DFT formation energy (eV per formula unit) = -3.5
- Fermi-level density of states (states/eV/atom) = 0.5212

```
9
Lattice="4.056 0.000 0.000 0.000 4.056 0.000 0.000 0.000 9.836" Properties=species:S:1:pos:R:3 pbc="T T T"
Sm 0.000 0.000 0.000
Zn 0.000 0.000 4.918
P 2.028 2.028 2.278
P 2.028 2.028 7.558
Ir 0.000 2.028 3.341
Ir 0.000 2.028 6.495
Ir 2.028 0.000 3.341
Ir 2.028 0.000 6.495
Ir 2.028 2.028 0.000
```

No. 5
Ac2ZnHgO5: relaxed, PBE-GGA.

Values from the calculation:
- formation energy from raw total energies (eV per atom) = -1.9517
- Fermi-level density of states (states/eV/atom) = 0.4276

```
18
Lattice="7.276 0.000 0.000 0.000 7.276 0.000 0.000 0.000 5.801" Properties=species:S:1:pos:R:3 pbc="T T T"
Ac 1.299 2.339 0.000
Ac 2.339 5.977 0.000
Ac 4.937 1.299 0.000
Ac 5.977 4.937 0.000
Zn 0.000 3.638 2.900
Zn 3.638 0.000 2.900
Hg 0.000 0.000 2.900
Hg 3.638 3.638 2.900
O 0.000 0.000 0.000
O 0.939 4.577 1.463
O 0.939 4.577 4.338
O 2.699 0.939 1.463
O 2.699 0.939 4.338
O 3.638 3.638 0.000
O 4.577 6.337 1.463
O 4.577 6.337 4.338
O 6.337 2.699 1.463
O 6.337 2.699 4.338
```

No. 6
Zr2CrCu: relaxed, PBE-GGA.

Values from the calculation:
- DFT formation energy (eV per formula unit) = 0.3
- Fermi-level density of states (states/eV/atom) = 0.8858

```
4
Lattice="3.164 0.000 0.000 0.000 4.533 0.000 -0.482 0.000 4.981" Properties=species:S:1:pos:R:3 pbc="T T T"
Zr 0.000 0.000 0.000
Zr 0.144 2.266 2.777
Cr 1.674 2.266 0.470
Cu 1.643 0.000 2.300
```